# 1
Compound: TlFeGeC2
Source: Alexandria via LeMat-Bulk
Functional: PBE
Structure: optimized geometry

Results
As for the symmetry: P4/mmm (123). The calculation puts the total moment at 0.001 μB/f.u. The value obtained for the formation energy from the elements is 1.317 eV per atom. The electronic total energy is -0.4014 Ry per atom.

POSCAR file:
```
TlFeGeC2
1.0
3.776 0.000 0.000
0.000 3.776 0.000
0.000 0.000 5.334
Tl Fe Ge C
1 1 1 2
Direct
0.000 0.000 0.000
0.500 0.500 0.500
0.500 0.500 0.000
0.000 0.500 0.500
0.500 0.000 0.500
```



# 2
Compound: TmFe2GeC
Source: Alexandria via LeMat-Bulk
Functional: PBE
Structure: optimized geometry

Results
As for the symmetry: Cmcm (63). The calculation puts the total moment at 0.655 μB/f.u. The value obtained for the formation energy from the elements is -0.416 eV per atom. The electronic total energy is -0.5485 Ry per atom.

POSCAR file:
```
TmFe2GeC
1.0
1.874 -5.255 0.000
1.874 5.255 0.000
0.000 0.000 6.854
Tm Fe Ge C
2 4 2 2
Direct
0.047 0.953 0.750
0.953 0.047 0.250
0.337 0.663 0.561
0.337 0.663 0.939
0.663 0.337 0.061
0.663 0.337 0.439
0.232 0.768 0.250
0.768 0.232 0.750
0.500 0.500 0.000
0.500 0.500 0.500
```



# 3
Compound: U2FeGeC
Source: Alexandria via LeMat-Bulk
Functional: PBE
Structure: optimized geometry

Results
As for the symmetry: P2_1/m (11). The calculation puts the total moment at 1.838 μB/f.u. The value obtained for the formation energy from the elements is -0.205 eV per atom. The electronic total energy is -0.6748 Ry per atom.

POSCAR file:
```
U2FeGeC
1.0
5.945 0.000 0.000
0.000 3.904 0.000
-1.843 0.000 7.335
U Fe Ge C
4 2 2 2
Direct
0.235 0.250 0.451
0.239 0.250 0.851
0.761 0.750 0.149
0.765 0.750 0.549
0.492 0.250 0.286
0.508 0.750 0.714
0.261 0.750 0.150
0.739 0.250 0.850
0.166 0.750 0.638
0.834 0.250 0.362
```



# 4
Compound: VFe2GeC
Source: Alexandria via LeMat-Bulk
Functional: PBE
Structure: optimized geometry

Results
As for the symmetry: P4/mmm (123). The calculation puts the total moment at 2.356 μB/f.u. The value obtained for the formation energy from the elements is 1.618 eV per atom. Its energy above the most stable polymorph in this dataset is 1.702 eV/atom. The electronic total energy is -0.4674 Ry per atom.

POSCAR file:
```
VFe2GeC
1.0
4.533 0.000 0.000
0.000 4.533 0.000
0.000 0.000 3.819
V Fe Ge C
1 2 1 1
Direct
0.000 0.000 0.000
0.000 0.500 0.500
0.500 0.000 0.500
0.500 0.500 0.500
0.500 0.500 0.000
```



# 5
Compound: VFe2GeC
Source: Alexandria via LeMat-Bulk
Functional: PBE
Structure: optimized geometry

Results
As for the symmetry: P4/mmm (123). The calculation puts the total moment at 3.023 μB/f.u. The value obtained for the formation energy from the elements is -0.084 eV per atom. Its energy above the most stable polymorph in this dataset is 0.000 eV/atom. The electronic total energy is -0.5925 Ry per atom.

POSCAR file:
```
VFe2GeC
1.0
3.778 0.000 0.000
0.000 3.778 0.000
0.000 0.000 3.996
V Fe Ge C
1 2 1 1
Direct
0.000 0.000 0.000
0.000 0.500 0.500
0.500 0.000 0.500
0.500 0.500 0.000
0.000 0.000 0.500
```



# 6
Compound: YFe2Ge2C
Source: Alexandria via LeMat-Bulk
Functional: PBE
Structure: optimized geometry

Results
As for the symmetry: P4/mmm (123). The calculation puts the total moment at 2.179 μB/f.u. The value obtained for the formation energy from the elements is -0.271 eV per atom. The electronic total energy is -0.5326 Ry per atom.

POSCAR file:
```
YFe2Ge2C
1.0
3.940 0.000 0.000
0.000 3.940 0.000
0.000 0.000 5.386
Y Fe Ge C
1 2 2 1
Direct
0.000 0.000 0.000
0.000 0.500 0.500
0.500 0.000 0.500
0.500 0.500 0.230
0.500 0.500 0.770
0.000 0.000 0.500
```



# 7
Compound: ZrFe2GeC
Source: Alexandria via LeMat-Bulk
Functional: PBE
Structure: optimized geometry

Results
As for the symmetry: Cmcm (63). The calculation puts the total moment at 0.000 μB/f.u. The value obtained for the formation energy from the elements is -0.359 eV per atom. The electronic total energy is -0.6043 Ry per atom.

POSCAR file:
```
ZrFe2GeC
1.0
1.812 -5.233 0.000
1.812 5.233 0.000
0.000 0.000 6.788
Zr Fe Ge C
2 4 2 2
Direct
0.046 0.954 0.750
0.954 0.046 0.250
0.338 0.662 0.558
0.338 0.662 0.942
0.662 0.338 0.058
0.662 0.338 0.442
0.234 0.766 0.250
0.766 0.234 0.750
0.500 0.500 0.000
0.500 0.500 0.500
```



> Which value of formation energy from the elements does entry 2 give?

-0.416 eV per atom



> Look up the formation energy from the elements of the third one.

-0.205 eV per atom